## HoTm2ScSe6 (GGA-PBE)

Data for HoTm2ScSe6 after structural relaxation.

Results
DOS(E_F): 0.0 states/eV/f.u.
formation energy (no corrections): -1.791 eV per atom

Geometry as CIF:
```
data_HoTm2ScSe6
_chemical_formula_sum 'Ho3 Tm6 Sc3 Se18'
_symmetry_space_group_name_H-M 'R 3'
_symmetry_Int_Tables_number 146
_symmetry_space_group_name_Hall 'R 3'
_cell_length_a 7.0388
_cell_length_b 7.0388
_cell_length_c 19.1103
_cell_angle_alpha 90.00
_cell_angle_beta 90.00
_cell_angle_gamma 120.00
loop_
_atom_site_label
_atom_site_type_symbol
_atom_site_fract_x
_atom_site_fract_y
_atom_site_fract_z
_atom_site_occupancy
Ho1 Ho 0.0000 0.0000 0.0000 1
Tm1 Tm 0.0000 0.0000 0.3043 1
Tm2 Tm 0.0000 0.0000 0.8067 1
Sc1 Sc 0.0000 0.0000 0.4970 1
Se1 Se 0.0267 0.3459 0.5690 1
Se2 Se 0.0321 0.6676 0.0713 1
```